1.
# NdPuCdAu PBE relaxed
data_NdPuCdAu
_chemical_formula_sum 'Nd4 Pu4 Cd4 Au4'
_cell_length_a 7.5055
_cell_length_b 7.5055
_cell_length_c 7.5055
_cell_angle_alpha 90.00
_cell_angle_beta 90.00
_cell_angle_gamma 90.00
_space_group_name_H-M_alt 'F -4 3 m'
_space_group_IT_number 216
_space_group_name_Hall 'F -4 2 3'
loop_
_atom_site_label
_atom_site_type_symbol
_atom_site_fract_x
_atom_site_fract_y
_atom_site_fract_z
_atom_site_occupancy
Nd1 Nd 0.0000 0.0000 0.0000 1
Pu1 Pu 0.0000 0.0000 0.5000 1
Cd1 Cd 0.2500 0.2500 0.7500 1
Au1 Au 0.2500 0.2500 0.2500 1
# E_tot: -6.1199 eV/atom
# Fermi-level density of states: 48.08 states/eV per cell
# Energy of formation: -297 meV/atom

=====

2.
# MgAlPt2 PBE relaxed
data_MgAlPt2
_chemical_formula_sum 'Mg4 Al4 Pt8'
_cell_length_a 6.3303
_cell_length_b 6.3303
_cell_length_c 6.3303
_cell_angle_alpha 90.00
_cell_angle_beta 90.00
_cell_angle_gamma 90.00
_space_group_name_H-M_alt 'F -4 3 m'
_space_group_IT_number 216
_space_group_name_Hall 'F -4 2 3'
loop_
_atom_site_label
_atom_site_type_symbol
_atom_site_fract_x
_atom_site_fract_y
_atom_site_fract_z
_atom_site_occupancy
Mg1 Mg 0.0000 0.0000 0.0000 1
Al1 Al 0.2500 0.2500 0.2500 1
Pt1 Pt 0.0000 0.0000 0.5000 1
Pt2 Pt 0.2500 0.2500 0.7500 1
# E_tot: -4.9353 eV/atom
# Fermi-level density of states: 5.40 states/eV per cell
# Energy of formation: -581 meV/atom

=====

3.
# Sr2GeIrI PBE relaxed
data_Sr2GeIrI
_chemical_formula_sum 'Sr2 Ge1 Ir1 I1'
_cell_length_a 5.9928
_cell_length_b 5.9928
_cell_length_c 4.6702
_cell_angle_alpha 90.00
_cell_angle_beta 90.00
_cell_angle_gamma 90.00
_space_group_name_H-M_alt 'P 4/m m m'
_space_group_IT_number 123
_space_group_name_Hall '-P 4 2'
loop_
_atom_site_label
_atom_site_type_symbol
_atom_site_fract_x
_atom_site_fract_y
_atom_site_fract_z
_atom_site_occupancy
Sr1 Sr 0.0000 0.5000 0.0000 1
Ge1 Ge 0.0000 0.0000 0.5000 1
Ir1 Ir 0.0000 0.0000 0.0000 1
I1 I 0.5000 0.5000 0.5000 1
# E_tot: -4.4342 eV/atom
# Fermi-level density of states: 2.59 states/eV per cell

=====

4.
# TbPm3Nd2Er6 PBE relaxed
data_TbPm3Nd2Er6
_chemical_formula_sum 'Tb2 Pm6 Nd4 Er12'
_cell_length_a 6.2075
_cell_length_b 10.7484
_cell_length_c 11.7556
_cell_angle_alpha 90.00
_cell_angle_beta 100.10
_cell_angle_gamma 90.00
_space_group_name_H-M_alt 'C 1 2/m 1'
_space_group_IT_number 12
_space_group_name_Hall '-C 2y'
loop_
_atom_site_label
_atom_site_type_symbol
_atom_site_fract_x
_atom_site_fract_y
_atom_site_fract_z
_atom_site_occupancy
Tb1 Tb 0.0000 0.0000 0.0000 1
Pm1 Pm 0.0000 0.1667 0.5000 1
Pm2 Pm 0.0000 0.5000 0.5000 1
Nd1 Nd 0.0000 0.3334 0.0000 1
Er1 Er 0.2494 0.0000 0.7500 1
Er2 Er 0.2499 0.1665 0.2498 1
# E_tot: -4.6349 eV/atom
# Fermi-level density of states: 26.94 states/eV per cell
# Energy of formation: 15 meV/atom

=====

5.
# HgSbRh PBE relaxed
data_HgSbRh
_chemical_formula_sum 'Hg1 Sb1 Rh1'
_cell_length_a 3.4308
_cell_length_b 3.4308
_cell_length_c 6.5830
_cell_angle_alpha 90.00
_cell_angle_beta 90.00
_cell_angle_gamma 120.00
_space_group_name_H-M_alt 'P 3 m 1'
_space_group_IT_number 156
_space_group_name_Hall 'P 3 -2"'
loop_
_atom_site_label
_atom_site_type_symbol
_atom_site_fract_x
_atom_site_fract_y
_atom_site_fract_z
_atom_site_occupancy
Hg1 Hg 0.0000 0.0000 0.0000 1
Sb1 Sb 0.3333 0.6667 0.5715 1
Rh1 Rh 0.6667 0.3333 0.3172 1
# Energy relative to the lowest polymorph listed for this composition: 0.01 eV per formula unit
# E_tot: -4.0256 eV/atom
# Fermi-level density of states: 0.42 states/eV per cell

=====

6.
# Ho2Al5Cu PBE relaxed
data_Ho2Al5Cu
_chemical_formula_sum 'Ho4 Al10 Cu2'
_cell_length_a 5.9659
_cell_length_b 5.9659
_cell_length_c 8.4445
_cell_angle_alpha 90.00
_cell_angle_beta 90.00
_cell_angle_gamma 90.00
_space_group_name_H-M_alt 'I 4 m m'
_space_group_IT_number 107
_space_group_name_Hall 'I 4 -2'
loop_
_atom_site_label
_atom_site_type_symbol
_atom_site_fract_x
_atom_site_fract_y
_atom_site_fract_z
_atom_site_occupancy
Ho1 Ho 0.0000 0.5000 0.0000 1
Al1 Al 0.0000 0.0000 0.9999 1
Al2 Al 0.2499 0.2499 0.2500 1
Cu1 Cu 0.0000 0.0000 0.5005 1
# E_tot: -4.3551 eV/atom
# Fermi-level density of states: 7.39 states/eV per cell
# Energy of formation: -360 meV/atom

=====

7.
# Na2LiZnH5 PBE relaxed
data_Na2LiZnH5
_chemical_formula_sum 'Na8 Li4 Zn4 H20'
_cell_length_a 3.0328
_cell_length_b 13.5664
_cell_length_c 9.9357
_cell_angle_alpha 90.00
_cell_angle_beta 90.00
_cell_angle_gamma 90.00
_space_group_name_H-M_alt 'C m c 21'
_space_group_IT_number 36
_space_group_name_Hall 'C 2c -2'
loop_
_atom_site_label
_atom_site_type_symbol
_atom_site_fract_x
_atom_site_fract_y
_atom_site_fract_z
_atom_site_occupancy
Na1 Na 0.0000 0.1172 0.0000 1
Na2 Na 0.0000 0.1472 0.6660 1
Li1 Li 0.0000 0.2114 0.3827 1
Zn1 Zn 0.0000 0.4419 0.7630 1
H1 H 0.0000 0.0352 0.3487 1
H2 H 0.0000 0.2917 0.0107 1
H3 H 0.0000 0.3213 0.7438 1
H4 H 0.0000 0.3468 0.3417 1
H5 H 0.0000 0.4995 0.6185 1
# E_tot: -2.6595 eV/atom
# Fermi-level density of states: 0.00 states/eV per cell

=====

8.
# SiTe2 PBE relaxed
data_SiTe2
_chemical_formula_sum 'Si1 Te2'
_cell_length_a 3.7944
_cell_length_b 3.7944
_cell_length_c 7.2363
_cell_angle_alpha 90.00
_cell_angle_beta 90.00
_cell_angle_gamma 120.00
_space_group_name_H-M_alt 'P -3 m 1'
_space_group_IT_number 164
_space_group_name_Hall '-P 3 2"'
loop_
_atom_site_label
_atom_site_type_symbol
_atom_site_fract_x
_atom_site_fract_y
_atom_site_fract_z
_atom_site_occupancy
Si1 Si 0.0000 0.0000 0.0000 1
Te1 Te 0.3333 0.6667 0.7748 1
# E_tot: -3.8553 eV/atom
# Fermi-level density of states: 1.30 states/eV per cell

=====

9.
# DyLu2I PBE relaxed
data_DyLu2I
_chemical_formula_sum 'Dy3 Lu6 I3'
_cell_length_a 3.6908
_cell_length_b 3.6908
_cell_length_c 30.8729
_cell_angle_alpha 90.00
_cell_angle_beta 90.00
_cell_angle_gamma 120.00
_space_group_name_H-M_alt 'R -3 m'
_space_group_IT_number 166
_space_group_name_Hall '-R 3 2"'
loop_
_atom_site_label
_atom_site_type_symbol
_atom_site_fract_x
_atom_site_fract_y
_atom_site_fract_z
_atom_site_occupancy
Dy1 Dy 0.0000 0.0000 0.0000 1
Lu1 Lu 0.0000 0.0000 0.2463 1
I1 I 0.0000 0.0000 0.5000 1
# E_tot: -4.0898 eV/atom
# Fermi-level density of states: 14.55 states/eV per cell

=====

10.
# K3InSb PBE relaxed
data_K3InSb
_chemical_formula_sum 'K12 In4 Sb4'
_cell_length_a 11.5305
_cell_length_b 8.3298
_cell_length_c 9.6183
_cell_angle_alpha 90.00
_cell_angle_beta 90.00
_cell_angle_gamma 90.00
_space_group_name_H-M_alt 'I m a 2'
_space_group_IT_number 46
_space_group_name_Hall 'I 2 -2a'
loop_
_atom_site_label
_atom_site_type_symbol
_atom_site_fract_x
_atom_site_fract_y
_atom_site_fract_z
_atom_site_occupancy
K1 K 0.0413 0.2267 0.0000 1
K2 K 0.2500 0.5242 0.2072 1
In1 In 0.2500 0.5520 0.8461 1
Sb1 Sb 0.2500 0.6065 0.5455 1
# Energy relative to the lowest polymorph listed for this composition: 0.00 eV per formula unit
# E_tot: -2.2218 eV/atom
# Fermi-level density of states: 10.80 states/eV per cell

=====

11.
# In4ReAs PBE relaxed
data_In4ReAs
_chemical_formula_sum 'In16 Re4 As4'
_cell_length_a 8.1180
_cell_length_b 8.1180
_cell_length_c 8.1180
_cell_angle_alpha 90.00
_cell_angle_beta 90.00
_cell_angle_gamma 90.00
_space_group_name_H-M_alt 'F -4 3 m'
_space_group_IT_number 216
_space_group_name_Hall 'F -4 2 3'
loop_
_atom_site_label
_atom_site_type_symbol
_atom_site_fract_x
_atom_site_fract_y
_atom_site_fract_z
_atom_site_occupancy
In1 In 0.1248 0.1248 0.1248 1
Re1 Re 0.2500 0.2500 0.7500 1
As1 As 0.0000 0.0000 0.5000 1
# E_tot: -3.6786 eV/atom
# Fermi-level density of states: 15.94 states/eV per cell
# Energy of formation: 997 meV/atom

=====

12.
# AsRuSeN2 PBE relaxed
data_AsRuSeN2
_chemical_formula_sum 'As1 Ru1 Se1 N2'
_cell_length_a 3.6245
_cell_length_b 3.6245
_cell_length_c 6.8071
_cell_angle_alpha 90.00
_cell_angle_beta 90.00
_cell_angle_gamma 90.00
_space_group_name_H-M_alt 'P 4/m m m'
_space_group_IT_number 123
_space_group_name_Hall '-P 4 2'
loop_
_atom_site_label
_atom_site_type_symbol
_atom_site_fract_x
_atom_site_fract_y
_atom_site_fract_z
_atom_site_occupancy
As1 As 0.0000 0.0000 0.0000 1
Ru1 Ru 0.5000 0.5000 0.5000 1
Se1 Se 0.0000 0.0000 0.5000 1
N1 N 0.0000 0.5000 0.0000 1
# Energy relative to the lowest polymorph listed for this composition: 3.23 eV per formula unit
# E_tot: -5.2618 eV/atom
# Fermi-level density of states: 4.23 states/eV per cell

=====

13.
# NdZrRh PBE relaxed
data_NdZrRh
_chemical_formula_sum 'Nd2 Zr2 Rh2'
_cell_length_a 3.4433
_cell_length_b 3.4433
_cell_length_c 11.8273
_cell_angle_alpha 90.00
_cell_angle_beta 90.00
_cell_angle_gamma 90.00
_space_group_name_H-M_alt 'I 4 m m'
_space_group_IT_number 107
_space_group_name_Hall 'I 4 -2'
loop_
_atom_site_label
_atom_site_type_symbol
_atom_site_fract_x
_atom_site_fract_y
_atom_site_fract_z
_atom_site_occupancy
Nd1 Nd 0.0000 0.0000 0.0000 1
Zr1 Zr 0.0000 0.0000 0.2848 1
Rh1 Rh 0.0000 0.0000 0.6788 1
# Energy relative to the lowest polymorph listed for this composition: 0.52 eV per formula unit
# E_tot: -7.2751 eV/atom
# Fermi-level density of states: 7.87 states/eV per cell
# Energy of formation: -386 meV/atom

=====

14.
# PmNdMgZn PBE relaxed
data_PmNdMgZn
_chemical_formula_sum 'Pm4 Nd4 Mg4 Zn4'
_cell_length_a 7.5291
_cell_length_b 7.5291
_cell_length_c 7.5291
_cell_angle_alpha 90.00
_cell_angle_beta 90.00
_cell_angle_gamma 90.00
_space_group_name_H-M_alt 'F -4 3 m'
_space_group_IT_number 216
_space_group_name_Hall 'F -4 2 3'
loop_
_atom_site_label
_atom_site_type_symbol
_atom_site_fract_x
_atom_site_fract_y
_atom_site_fract_z
_atom_site_occupancy
Pm1 Pm 0.0000 0.0000 0.0000 1
Nd1 Nd 0.0000 0.0000 0.5000 1
Mg1 Mg 0.2500 0.2500 0.7500 1
Zn1 Zn 0.2500 0.2500 0.2500 1
# Energy relative to the lowest polymorph listed for this composition: 0.11 eV per formula unit
# E_tot: -3.2793 eV/atom
# Fermi-level density of states: 14.37 states/eV per cell
# Energy of formation: -183 meV/atom

=====

15.
# BaBe2Te PBE relaxed
data_BaBe2Te
_chemical_formula_sum 'Ba2 Be4 Te2'
_cell_length_a 7.7464
_cell_length_b 4.0387
_cell_length_c 6.6519
_cell_angle_alpha 90.00
_cell_angle_beta 105.28
_cell_angle_gamma 90.00
_space_group_name_H-M_alt 'C 1 m 1'
_space_group_IT_number 8
_space_group_name_Hall 'C -2y'
loop_
_atom_site_label
_atom_site_type_symbol
_atom_site_fract_x
_atom_site_fract_y
_atom_site_fract_z
_atom_site_occupancy
Ba1 Ba 0.0000 0.0000 0.0000 1
Be1 Be 0.0902 0.5000 0.6636 1
Be2 Be 0.2881 0.0000 0.6537 1
Te1 Te 0.2755 0.5000 0.4163 1
# E_tot: -3.1543 eV/atom
# Fermi-level density of states: 2.87 states/eV per cell

=====

16.
# Zn3RuPt12 PBE relaxed
data_Zn3RuPt12
_chemical_formula_sum 'Zn3 Ru1 Pt12'
_cell_length_a 3.9272
_cell_length_b 3.9272
_cell_length_c 15.7561
_cell_angle_alpha 90.00
_cell_angle_beta 90.00
_cell_angle_gamma 90.00
_space_group_name_H-M_alt 'P 4/m m m'
_space_group_IT_number 123
_space_group_name_Hall '-P 4 2'
loop_
_atom_site_label
_atom_site_type_symbol
_atom_site_fract_x
_atom_site_fract_y
_atom_site_fract_z
_atom_site_occupancy
Zn1 Zn 0.0000 0.0000 0.0000 1
Zn2 Zn 0.0000 0.0000 0.2474 1
Ru1 Ru 0.0000 0.0000 0.5000 1
Pt1 Pt 0.0000 0.5000 0.1246 1
Pt2 Pt 0.0000 0.5000 0.3760 1
Pt3 Pt 0.5000 0.5000 0.0000 1
Pt4 Pt 0.5000 0.5000 0.2500 1
Pt5 Pt 0.5000 0.5000 0.5000 1
# E_tot: -5.6004 eV/atom
# Fermi-level density of states: 17.52 states/eV per cell
# Energy of formation: -251 meV/atom

=====

17.
# YbMg2 PBE relaxed
data_YbMg2
_chemical_formula_sum 'Yb4 Mg8'
_cell_length_a 6.1539
_cell_length_b 6.1539
_cell_length_c 9.8865
_cell_angle_alpha 90.00
_cell_angle_beta 90.00
_cell_angle_gamma 120.00
_space_group_name_H-M_alt 'P 63/m m c'
_space_group_IT_number 194
_space_group_name_Hall '-P 6c 2c'
loop_
_atom_site_label
_atom_site_type_symbol
_atom_site_fract_x
_atom_site_fract_y
_atom_site_fract_z
_atom_site_occupancy
Yb1 Yb 0.3333 0.6667 0.0616 1
Mg1 Mg 0.0000 0.0000 0.0000 1
Mg2 Mg 0.1698 0.3396 0.7500 1
# E_tot: -1.7158 eV/atom
# Fermi-level density of states: 64.20 states/eV per cell
# Energy of formation: -144 meV/atom

=====

18.
# Tl8Hg3Pb2 PBE relaxed
data_Tl8Hg3Pb2
_chemical_formula_sum 'Tl8 Hg3 Pb2'
_cell_length_a 9.5478
_cell_length_b 4.9780
_cell_length_c 9.7395
_cell_angle_alpha 90.00
_cell_angle_beta 109.96
_cell_angle_gamma 90.00
_space_group_name_H-M_alt 'P 1 2/m 1'
_space_group_IT_number 10
_space_group_name_Hall '-P 2y'
loop_
_atom_site_label
_atom_site_type_symbol
_atom_site_fract_x
_atom_site_fract_y
_atom_site_fract_z
_atom_site_occupancy
Tl1 Tl 0.1137 0.0000 0.3756 1
Tl2 Tl 0.1285 0.5000 0.8701 1
Tl3 Tl 0.3773 0.0000 0.1076 1
Tl4 Tl 0.3841 0.5000 0.6061 1
Hg1 Hg 0.0000 0.0000 0.0000 1
Hg2 Hg 0.2541 0.5000 0.2488 1
Pb1 Pb 0.2609 0.0000 0.7368 1
# E_tot: -2.0303 eV/atom
# Fermi-level density of states: 5.66 states/eV per cell
# Energy of formation: 66 meV/atom

=====

19.
# KAg4 PBE relaxed
data_KAg4
_chemical_formula_sum 'K1 Ag4'
_cell_length_a 5.5243
_cell_length_b 5.5243
_cell_length_c 5.5243
_cell_angle_alpha 90.00
_cell_angle_beta 90.00
_cell_angle_gamma 90.00
_space_group_name_H-M_alt 'P m -3 m'
_space_group_IT_number 221
_space_group_name_Hall '-P 4 2 3'
loop_
_atom_site_label
_atom_site_type_symbol
_atom_site_fract_x
_atom_site_fract_y
_atom_site_fract_z
_atom_site_occupancy
K1 K 0.0000 0.0000 0.0000 1
Ag1 Ag 0.0000 0.0000 0.5000 1
Ag2 Ag 0.5000 0.5000 0.5000 1
# Energy relative to the lowest polymorph listed for this composition: 5.57 eV per formula unit
# E_tot: -1.2708 eV/atom
# Fermi-level density of states: 3.20 states/eV per cell
# Energy of formation: 1230 meV/atom

=====

20.
# Nb2Ga2CoNi7 PBE relaxed
data_Nb2Ga2CoNi7
_chemical_formula_sum 'Nb4 Ga4 Co2 Ni14'
_cell_length_a 3.2968
_cell_length_b 3.2968
_cell_length_c 29.4247
_cell_angle_alpha 90.00
_cell_angle_beta 90.00
_cell_angle_gamma 90.00
_space_group_name_H-M_alt 'I 4/m m m'
_space_group_IT_number 139
_space_group_name_Hall '-I 4 2'
loop_
_atom_site_label
_atom_site_type_symbol
_atom_site_fract_x
_atom_site_fract_y
_atom_site_fract_z
_atom_site_occupancy
Nb1 Nb 0.0000 0.0000 0.1323 1
Ga1 Ga 0.0000 0.0000 0.3101 1
Co1 Co 0.0000 0.0000 0.5000 1
Ni1 Ni 0.0000 0.0000 0.0000 1
Ni2 Ni 0.0000 0.0000 0.2261 1
Ni3 Ni 0.0000 0.5000 0.0642 1
# E_tot: -6.1286 eV/atom
# Fermi-level density of states: 22.64 states/eV per cell
# Energy of formation: 19 meV/atom